No. 1
This record from the Alexandria database describes a geometry-optimized TbCeSm6Dy2 structure. The functional is PBE.

## Properties
* E: -4.56 eV/atom
* total moment: 1.39 μB/cell
* D(E_F): 22.737 states/eV per cell
* SG: No. 12

POSCAR file:
```
TbCeSm6Dy2
1.0
0.036 -7.503 4.755
6.836 -0.498 -0.838
-2.646 4.404 4.242
Tb Ce Sm Dy
1 1 6 2
Direct
0.500 0.000 0.000
0.000 0.500 0.000
0.416 0.625 0.251
0.200 0.064 0.654
0.800 0.410 0.346
0.200 0.590 0.654
0.800 0.936 0.346
0.584 0.375 0.749
0.167 0.089 0.178
0.833 0.911 0.822
```

***

No. 2
This record from the Alexandria database describes a geometry-optimized Mg2TlCu structure. The functional is PBE.

## Properties
* E: -2.38 eV/atom
* total moment: 0.00 μB/cell
* D(E_F): 1.465 states/eV per cell
* SG: No. 6

POSCAR file:
```
Mg2TlCu
1.0
4.451 0.000 0.000
0.000 3.328 -0.006
0.000 1.675 5.508
Cu Mg Tl
1 2 1
Direct
0.500 0.545 0.789
0.000 0.965 0.946
0.500 0.298 0.276
0.000 0.692 0.490
```

***

No. 3
This record from the Alexandria database describes a geometry-optimized GaSi2Ni9 structure. The functional is PBE.

## Properties
* uncorrected formation energy: -4.81 eV/f.u.
* total moment: 0.01 μB/cell
* D(E_F): 14.273 states/eV per cell
* SG: No. 123

POSCAR file:
```
GaSi2Ni9
1.0
3.530 0.000 0.000
0.000 3.530 0.000
0.000 0.000 10.594
Ga Si Ni
1 2 9
Direct
0.000 0.000 0.000
0.000 0.000 0.334
0.000 0.000 0.666
0.500 0.500 0.000
0.500 0.500 0.337
0.500 0.500 0.663
0.500 0.000 0.174
0.500 0.000 0.500
0.500 0.000 0.826
0.000 0.500 0.174
0.000 0.500 0.500
0.000 0.500 0.826
```

***

No. 4
This record from the Alexandria database describes a geometry-optimized Pd12Pt7Rh structure. The functional is PBE.

## Properties
* E: -4.90 eV/atom
* total moment: 2.39 μB/cell
* D(E_F): 35.203 states/eV per cell
* SG: No. 204

POSCAR file:
```
Pd12Pt7Rh
1.0
8.090 0.000 0.000
-2.697 7.628 0.000
-2.697 -3.814 6.606
Pd Pt Rh
12 7 1
Direct
0.262 0.142 0.404
0.262 0.858 0.120
0.738 0.858 0.596
0.738 0.142 0.880
0.404 0.262 0.142
0.880 0.738 0.142
0.596 0.738 0.858
0.120 0.262 0.858
0.858 0.120 0.262
0.142 0.880 0.738
0.142 0.404 0.262
0.858 0.596 0.738
0.500 0.000 0.500
0.500 0.500 0.000
0.000 0.500 0.500
0.000 0.000 0.500
0.500 0.000 0.000
0.500 0.500 0.500
0.000 0.500 0.000
0.000 0.000 0.000
```

***

No. 5
This record from the Alexandria database describes a geometry-optimized Na2CaEu structure. The functional is PBE.

## Properties
* total moment: 7.59 μB/cell
* D(E_F): 14.608 states/eV per cell
* SG: No. 225
* ΔE to the lowest computed polymorph: 3 meV/atom

POSCAR file:
```
Na2CaEu
1.0
-3.942 -1.968 -4.226
1.842 -0.771 -5.770
0.550 -5.627 -2.303
Eu Na Ca
1 2 1
Direct
0.000 0.000 0.000
0.750 0.750 0.750
0.250 0.250 0.250
0.500 0.500 0.500
```

***

No. 6
This record from the Alexandria database describes a geometry-optimized LiPuAu structure. The functional is PBE.

## Properties
* total moment: 5.87 μB/cell
* D(E_F): 8.279 states/eV per cell
* SG: No. 107
* ΔE to the lowest computed polymorph: 98 meV/atom

POSCAR file:
```
LiPuAu
1.0
-3.270 0.805 0.517
-0.135 -2.213 2.587
3.188 4.566 1.829
Pu Au Li
1 1 1
Direct
0.611 0.611 0.221
0.922 0.922 0.844
0.317 0.317 0.634
```

***

No. 7
This record from the Alexandria database describes a geometry-optimized ReGeAs structure. The functional is PBE.

## Properties
* total moment: 0.00 μB/cell
* D(E_F): 1.413 states/eV per cell
* SG: No. 8
* ΔE to the lowest computed polymorph: 433 meV/atom

POSCAR file:
```
ReGeAs
1.0
-1.159 3.823 0.306
-0.970 1.373 3.637
4.463 -0.688 -0.759
Re Ge As
1 1 1
Direct
0.139 0.139 0.220
0.912 0.912 0.570
0.408 0.408 0.015
```

***

No. 8
This record from the Alexandria database describes a geometry-optimized HfGaS2N structure. The functional is PBE.

## Properties
* uncorrected formation energy: -1.21 eV/f.u.
* total moment: 0.00 μB/cell
* D(E_F): 6.291 states/eV per cell
* SG: No. 123
* ΔE to the lowest computed polymorph: 0 meV/atom

POSCAR file:
```
HfGaS2N
1.0
5.043 0.000 0.000
0.000 5.043 0.000
0.000 0.000 4.118
S Hf Ga N
2 1 1 1
Direct
0.000 0.500 0.000
0.500 0.000 0.000
0.000 0.000 0.000
0.500 0.500 0.500
0.000 0.000 0.500
```

***

Repeat the second record exactly.
This record from the Alexandria database describes a geometry-optimized Mg2TlCu structure. The functional is PBE.

## Properties
* E: -2.38 eV/atom
* total moment: 0.00 μB/cell
* D(E_F): 1.465 states/eV per cell
* SG: No. 6

POSCAR file:
```
Mg2TlCu
1.0
4.451 0.000 0.000
0.000 3.328 -0.006
0.000 1.675 5.508
Cu Mg Tl
1 2 1
Direct
0.500 0.545 0.789
0.000 0.965 0.946
0.500 0.298 0.276
0.000 0.692 0.490
```